Record 1
## Na3Pu2ZrSe6 (PBE)

Data for an optimized crystal structure of Na3Pu2ZrSe6.

```
Na3Pu2ZrSe6
1.0
3.558 -6.166 0.000
3.558 6.166 0.000
-2.382 0.000 6.993
Na Pu Zr Se
3 2 1 6
Cartesian
0.000 0.000 0.000
3.558 2.082 0.000
3.558 -2.082 0.000
2.367 4.112 3.497
2.367 -4.112 3.497
2.367 0.000 3.497
1.239 1.959 1.891
0.108 0.000 5.092
1.239 -1.959 1.891
3.495 1.959 5.102
4.625 0.000 1.901
3.495 -1.959 5.102
```

* spin magnetization: 11.001 μB/f.u.
* SG: C2/m, No. 12
* total DFT energy (no corrections): -78.681 eV per formula unit
* E_form (uncorrected): -16.6 eV/f.u.



Record 2
## Na3PuZr2Se6 (PBE)

Data for an optimized crystal structure of Na3PuZr2Se6.

```
Na3PuZr2Se6
1.0
3.449 -5.982 0.000
3.449 5.982 0.000
-2.314 0.000 7.091
Na Pu Zr Se
3 1 2 6
Cartesian
0.000 0.000 0.000
3.449 1.938 0.000
3.449 -1.938 0.000
2.292 0.000 3.545
2.292 3.977 3.545
2.292 -3.977 3.545
1.087 2.091 1.926
-0.121 0.000 5.159
1.087 -2.091 1.926
3.496 2.091 5.165
4.705 0.000 1.932
3.496 -2.091 5.165
```

* spin magnetization: 6.705 μB/f.u.
* SG: C2/m, No. 12
* total DFT energy (no corrections): -72.344 eV per formula unit
* E_form (uncorrected): -16.1 eV/f.u.



Record 3
## NaSmPu2Te4 (PBE)

Data for an optimized crystal structure of NaSmPu2Te4.

```
NaSmPu2Te4
1.0
7.721 0.000 0.000
0.000 4.461 0.000
-2.610 0.000 7.375
Na Sm Pu Te
1 1 2 4
Cartesian
0.000 0.000 0.000
-1.305 2.230 3.687
2.555 0.000 3.687
3.860 2.230 0.000
-0.025 0.000 5.533
1.278 2.230 1.873
3.833 2.230 5.502
5.136 0.000 1.842
```

* spin magnetization: 0.160 μB/f.u.
* SG: P2/m, No. 10
* total DFT energy (no corrections): -56.479 eV per formula unit
* E_form (uncorrected): -9.2 eV/f.u.



Record 4
## Na2SmPuTe4 (PBE)

Data for an optimized crystal structure of Na2SmPuTe4.

```
Na2SmPuTe4
1.0
7.804 0.000 0.000
0.000 4.509 0.000
-2.624 0.000 7.517
Na Sm Pu Te
2 1 1 4
Cartesian
0.000 0.000 0.000
3.902 2.254 0.000
-1.312 2.254 3.759
2.590 0.000 3.759
-0.014 0.000 5.541
1.303 2.254 1.999
3.877 2.254 5.518
5.193 0.000 1.977
```

* spin magnetization: 5.000 μB/f.u.
* SG: P2/m, No. 10
* total DFT energy (no corrections): -43.629 eV per formula unit
* E_form (uncorrected): -9.4 eV/f.u.



Q: Which of these has the lowest spin magnetization?
A: NaSmPu2Te4



Q: The highest E_form (uncorrected) belongs to which entry?
A: NaSmPu2Te4



Q: Which value of total DFT energy (no corrections) does entry 3 give?
A: -56.479 eV per formula unit



Repeat the first record exactly.
## Na3Pu2ZrSe6 (PBE)

Data for an optimized crystal structure of Na3Pu2ZrSe6.

```
Na3Pu2ZrSe6
1.0
3.558 -6.166 0.000
3.558 6.166 0.000
-2.382 0.000 6.993
Na Pu Zr Se
3 2 1 6
Cartesian
0.000 0.000 0.000
3.558 2.082 0.000
3.558 -2.082 0.000
2.367 4.112 3.497
2.367 -4.112 3.497
2.367 0.000 3.497
1.239 1.959 1.891
0.108 0.000 5.092
1.239 -1.959 1.891
3.495 1.959 5.102
4.625 0.000 1.901
3.495 -1.959 5.102
```

* spin magnetization: 11.001 μB/f.u.
* SG: C2/m, No. 12
* total DFT energy (no corrections): -78.681 eV per formula unit
* E_form (uncorrected): -16.6 eV/f.u.